#A
Computed, not measured: a geometry-optimized Tb4Tm2Sc5 structure at the PBE level of DFT.

The structure belongs to space group C2/m (No. 12); the cell edges are 17.380, 4.842 and 7.579 Å and the angles 90.00°, 104.54° and 90.00°. Symmetry generates all atoms from Tb at (0.045, 0.000, 0.235), Tb at (0.182, 0.500, 0.414), Tm at (0.093, 0.500, 0.949), Sc at (0.000, 0.500, 0.500), Sc at (0.139, 0.000, 0.689) and Sc at (0.227, 0.000, 0.129).


#B
Computed, not measured: a geometry-optimized Tb4Tm2Sc5 structure at the PBE level of DFT.

The structure belongs to space group C2/m (No. 12); the cell edges are 22.847, 3.354 and 8.277 Å and the angles 90.00°, 93.96° and 90.00°. Symmetry generates all atoms from Tb at (0.042, 0.000, 0.340), Tb at (0.091, 0.500, 0.698), Tm at (0.135, 0.000, 0.052), Sc at (0.000, 0.500, 0.000), Sc at (0.190, 0.000, 0.478) and Sc at (0.226, 0.500, 0.824).


How far above the most stable structure does each one sit? In meV per atom: #A 0; #B 83.


#A
Computed, not measured: a geometry-optimized Tb3Tm5Sc2 structure at the PBE level of DFT.

The structure belongs to space group P-1 (No. 2); the cell edges are 9.151, 9.157 and 9.171 Å and the angles 106.57°, 106.55° and 115.40°. Symmetry generates all atoms from Tb at (0.026, 0.077, 0.350), Tb at (0.178, 0.526, 0.452), Tb at (0.228, 0.677, 0.150), Tm at (0.075, 0.226, 0.051), Tm at (0.129, 0.378, 0.751), Tm at (0.326, 0.977, 0.552), Tm at (0.378, 0.128, 0.249), Tm at (0.426, 0.275, 0.952), Sc at (0.279, 0.829, 0.853) and Sc at (0.476, 0.426, 0.649).


#B
Computed, not measured: a geometry-optimized Tb3Tm5Sc2 structure at the PBE level of DFT.

The structure belongs to space group Ibam (No. 72); the cell edges are 12.605, 16.231 and 6.161 Å and the angles 90.00°, 90.00° and 90.00°. Symmetry generates all atoms from Tb at (0.000, 0.000, 0.250), Tb at (0.157, 0.244, 0.000), Tm at (0.000, 0.500, 0.250), Tm at (0.098, 0.341, 0.500), Tm at (0.250, 0.000, 0.250) and Sc at (0.101, 0.155, 0.500).


How far above the most stable structure does each one sit? In meV per atom: #A 0; #B 327.


#A
Computed, not measured: a geometry-optimized Tb8TmSc2 structure at the PBE level of DFT.

The structure belongs to space group C2/m (No. 12); the cell edges are 8.859, 15.863 and 5.766 Å and the angles 90.00°, 122.96° and 90.00°. Symmetry generates all atoms from Tb at (0.000, 0.208, 0.000), Tb at (0.073, 0.500, 0.793), Tb at (0.217, 0.120, 0.674), Tm at (0.000, 0.000, 0.000) and Sc at (0.000, 0.310, 0.500).


#B
Computed, not measured: a geometry-optimized Tb8TmSc2 structure at the PBE level of DFT.

The structure belongs to space group Immm (No. 71); the cell edges are 5.371, 8.239 and 15.419 Å and the angles 90.00°, 90.00° and 90.00°. Symmetry generates all atoms from Tb at (0.000, 0.000, 0.161), Tb at (0.000, 0.204, 0.358), Tb at (0.000, 0.301, 0.000), Tm at (0.000, 0.500, 0.500) and Sc at (0.000, 0.500, 0.202).


How far above the most stable structure does each one sit? In meV per atom: #A 46; #B 0.


#A
Computed, not measured: a geometry-optimized Tb3Tm4Sc2 structure at the PBE level of DFT.

The structure belongs to space group C2/c (No. 15); the cell edges are 16.686, 9.761 and 6.605 Å and the angles 90.00°, 93.90° and 90.00°. Symmetry generates all atoms from Tb at (0.000, 0.013, 0.250), Tb at (0.152, 0.453, 0.238), Tm at (0.016, 0.318, 0.514), Tm at (0.189, 0.124, 0.403) and Sc at (0.165, 0.212, 0.886).


#B
Computed, not measured: a geometry-optimized Tb3Tm4Sc2 structure at the PBE level of DFT.

The structure belongs to space group C2/c (No. 15); the cell edges are 13.486, 13.188 and 6.305 Å and the angles 90.00°, 106.95° and 90.00°. Symmetry generates all atoms from Tb at (0.000, 0.041, 0.250), Tb at (0.100, 0.428, 0.979), Tm at (0.123, 0.295, 0.496), Tm at (0.135, 0.182, 0.993) and Sc at (0.206, 0.048, 0.628).


How far above the most stable structure does each one sit? In meV per atom: #A 0; #B 26.


#A
Computed, not measured: a geometry-optimized TbTm7Sc3 structure at the PBE level of DFT.

The structure belongs to space group Immm (No. 71); the cell edges are 5.622, 10.541 and 10.966 Å and the angles 90.00°, 90.00° and 90.00°. Symmetry generates all atoms from Tb at (0.000, 0.000, 0.000), Tm at (0.000, 0.193, 0.298), Tm at (0.000, 0.304, 0.000), Tm at (0.000, 0.500, 0.500), Sc at (0.000, 0.000, 0.500) and Sc at (0.000, 0.500, 0.212).


#B
Computed, not measured: a geometry-optimized TbTm7Sc3 structure at the PBE level of DFT.

The structure belongs to space group P3m1 (No. 156); the cell edges are 6.8689, 6.8689 and 8.1880 Å and the angles 90.00°, 90.00° and 120.00°. Symmetry generates all atoms from Tb at (0.0000, 0.0000, 0.0000), Tm at (0.1653, 0.3305, 0.3420), Tm at (0.5014, 0.0028, 0.9929), Tm at (0.6667, 0.3333, 0.3354) and Sc at (0.3343, 0.1671, 0.6667).


How far above the most stable structure does each one sit? In meV per atom: #A 59; #B 0.


#A
Computed, not measured: a geometry-optimized Tb7Tm3Sc structure at the PBE level of DFT.

The structure belongs to space group C2/m (No. 12); the cell edges are 12.432, 11.141 and 5.684 Å and the angles 90.00°, 117.19° and 90.00°. Symmetry generates all atoms from Tb at (0.000, 0.000, 0.000), Tb at (0.191, 0.290, 0.691), Tb at (0.213, 0.500, 0.212), Tm at (0.000, 0.296, 0.000), Tm at (0.000, 0.500, 0.500) and Sc at (0.000, 0.000, 0.500).


#B
Computed, not measured: a geometry-optimized Tb7Tm3Sc structure at the PBE level of DFT.

The structure belongs to space group C2/m (No. 12); the cell edges are 6.894, 18.125 and 11.079 Å and the angles 90.00°, 90.29° and 90.00°. Symmetry generates all atoms from Tb at (0.248, 0.000, 0.250), Tb at (0.248, 0.340, 0.529), Tb at (0.249, 0.160, 0.029), Tb at (0.249, 0.414, 0.250), Tm at (0.000, 0.000, 0.500), Tm at (0.000, 0.250, 0.250), Tm at (0.000, 0.500, 0.000), Sc at (0.000, 0.000, 0.000) and Sc at (0.000, 0.500, 0.500).


How far above the most stable structure does each one sit? In meV per atom: #A 114; #B 0.